1.
## TbPaRu4 (GGA-PBE)

Data for TbPaRu4 after structural relaxation.

Lattice parameters (Å, degrees): 5.337 5.337 5.337 60.00 60.00 60.00
Positions (direct):
Tb: 0.250 0.250 0.250
Ru: 0.625 0.625 0.125
Ru: 0.125 0.625 0.625
Ru: 0.625 0.625 0.625
Pa: 0.000 0.000 0.000
Ru: 0.625 0.125 0.625

## Properties
Density of states at the Fermi level, states/eV per atom: 1.500
SG: F-43m (216)



2.
## Tb3Pa2Ru4 (GGA-PBE)

Data for Tb3Pa2Ru4 after structural relaxation.

Lattice parameters (Å, degrees): 6.926 6.926 8.987 93.50 93.50 103.89
Positions (direct):
Tb: 0.064 0.353 0.148
Ru: 0.417 0.251 0.363
Tb: 0.883 0.117 0.750
Tb: 0.647 0.936 0.352
Pa: 0.537 0.257 0.056
Tb: 0.117 0.883 0.250
Pa: 0.743 0.463 0.444
Ru: 0.220 0.022 0.956
Ru: 0.978 0.780 0.544
Pa: 0.257 0.537 0.556
Ru: 0.583 0.749 0.637
Pa: 0.463 0.743 0.944
Tb: 0.936 0.647 0.852
Ru: 0.749 0.583 0.137
Ru: 0.251 0.417 0.863
Ru: 0.780 0.978 0.044
Tb: 0.353 0.064 0.648
Ru: 0.022 0.220 0.456

## Properties
Density of states at the Fermi level, states/eV per atom: 0.510
SG: C2/c (15)



3.
## Tb4PaRu5 (GGA-PBE)

Data for Tb4PaRu5 after structural relaxation.

Lattice parameters (Å, degrees): 5.530 6.828 6.828 80.56 66.11 66.11
Positions (direct):
Ru: 0.616 0.000 0.000
Tb: 0.150 0.241 0.401
Ru: 0.057 0.667 0.131
Ru: 0.188 0.869 0.667
Tb: 0.551 0.599 0.241
Ru: 0.855 0.333 0.869
Ru: 0.724 0.131 0.333
Pa: 0.185 0.000 0.000
Tb: 0.392 0.401 0.759
Tb: 0.792 0.759 0.599

## Properties
Density of states at the Fermi level, states/eV per atom: 0.967
SG: I4 (79)



4.
## TbPaRu (GGA-PBE)

Data for TbPaRu after structural relaxation.

Lattice parameters (Å, degrees): 3.680 6.637 6.543 93.41 73.67 73.91
Positions (direct):
Tb: 0.615 0.048 0.722
Ru: 0.367 0.630 0.636
Ru: 0.019 0.919 0.044
Pa: 0.813 0.501 0.873
Pa: 0.461 0.795 0.282
Tb: 0.194 0.316 0.296

## Properties
Density of states at the Fermi level, states/eV per atom: 1.545
SG: Cm (8)



5.
## Tb5Pa2Ru5 (GGA-PBE)

Data for Tb5Pa2Ru5 after structural relaxation.

Lattice parameters (Å, degrees): 4.991 4.991 12.724 78.77 78.77 60.09
Positions (direct):
Pa: 0.926 0.926 0.223
Ru: 0.139 0.139 0.580
Tb: 0.218 0.218 0.348
Pa: 0.074 0.074 0.777
Ru: 0.000 0.000 0.000
Ru: 0.616 0.616 0.159
Tb: 0.782 0.782 0.652
Ru: 0.861 0.861 0.420
Tb: 0.500 0.500 0.500
Tb: 0.690 0.690 0.929
Ru: 0.384 0.384 0.841
Tb: 0.310 0.310 0.071

## Properties
Density of states at the Fermi level, states/eV per atom: 0.731
SG: C2/m (12)



6.
## TbPaTcRu (GGA-PBE)

Data for TbPaTcRu after structural relaxation.

Lattice parameters (Å, degrees): 4.856 4.856 4.856 60.00 60.00 60.00
Positions (direct):
Pa: 0.000 0.000 0.000
Tc: 0.250 0.250 0.250
Ru: 0.750 0.750 0.750
Tb: 0.500 0.500 0.500

## Properties
Density of states at the Fermi level, states/eV per atom: 0.917
SG: F-43m (216)



The calculation returns the following calculated formation energy values, one per record and in order: -0.28; -0.48; -0.14; -0.23; -0.30; -0.26 eV per atom.